Compound: PmCu2Ni6
Source: Alexandria via LeMat-Bulk
Functional: PBE-GGA
Structure: relaxed Values from VASP.

Summary:
symmetry = Fd-3m
total moment = 1.317 μB/f.u.
mass density = 7.2 g/cm3
energy of formation from the pure elements = 0.56 eV/atom

Structure (Quantum ESPRESSO input):
```
&SYSTEM
  ibrav = 0, nat = 18, ntyp = 3
/
ATOMIC_SPECIES
Cu 63.55 Cu.upf
Ni 58.69 Ni.upf
Pm 145.00 Pm.upf
ATOMIC_POSITIONS crystal
Cu 0.625 0.125 0.125
Cu 0.125 0.125 0.625
Cu 0.125 0.125 0.125
Cu 0.125 0.625 0.125
Ni 0.997 0.997 0.503
Ni 0.747 0.747 0.253
Ni 0.747 0.253 0.253
Ni 0.253 0.253 0.747
Ni 0.503 0.997 0.997
Ni 0.253 0.747 0.253
Ni 0.503 0.997 0.503
Ni 0.997 0.503 0.997
Ni 0.503 0.503 0.997
Ni 0.747 0.253 0.747
Ni 0.997 0.503 0.503
Ni 0.253 0.747 0.747
Pm 0.500 0.500 0.500
Pm 0.750 0.750 0.750
CELL_PARAMETERS angstrom
7.406 0.000 0.000
3.703 6.414 0.000
3.703 2.138 6.047
```

Compound: Cu2SbPb2
Source: Alexandria via LeMat-Bulk
Functional: PBE-GGA
Structure: relaxed Values from VASP.

Summary:
formation energy without anion corrections = 143.8 meV per atom
energy relative to the lowest polymorph listed for this composition = 0.0 kJ/mol of atoms
symmetry = P4/mbm
total moment = 0.000 μB/f.u.
mass density = 9.7 g/cm3

Structure (Quantum ESPRESSO input):
```
&SYSTEM
  ibrav = 0, nat = 10, ntyp = 3
/
ATOMIC_SPECIES
Cu 63.55 Cu.upf
Pb 207.20 Pb.upf
Sb 121.76 Sb.upf
ATOMIC_POSITIONS crystal
Cu 0.624 0.124 0.000
Cu 0.124 0.376 0.000
Cu 0.876 0.624 0.000
Cu 0.376 0.876 0.000
Pb 0.670 0.830 0.500
Pb 0.170 0.670 0.500
Pb 0.830 0.330 0.500
Pb 0.330 0.170 0.500
Sb 0.500 0.500 0.000
Sb 0.000 0.000 0.000
CELL_PARAMETERS angstrom
-0.682 -6.721 -2.316
3.413 1.731 -6.029
3.897 -1.051 1.904
```

Compound: Nb12Br17F13
Source: Alexandria via LeMat-Bulk
Functional: PBE-GGA
Structure: relaxed Values from VASP.

Summary:
formation energy without anion corrections = -1714.1 meV per atom
symmetry = P1
total moment = 0.000 μB/f.u.
mass density = 4.2 g/cm3

Structure (Quantum ESPRESSO input):
```
&SYSTEM
  ibrav = 0, nat = 42, ntyp = 3
/
ATOMIC_SPECIES
Br 79.90 Br.upf
F 19.00 F.upf
Nb 92.91 Nb.upf
ATOMIC_POSITIONS crystal
Br 0.159 0.753 0.999
Br 0.406 0.749 0.495
Br 0.253 0.347 0.501
Br 0.407 0.165 0.004
Br 0.241 0.270 0.762
Br 0.750 0.593 0.000
Br 0.155 0.903 0.498
Br 0.594 0.251 0.502
Br 0.748 0.654 0.499
Br 0.762 0.745 0.250
Br 0.847 0.098 0.503
Br 0.844 0.247 0.997
Br 0.499 0.980 0.749
Br 0.232 0.480 0.243
Br 0.766 0.518 0.751
Br 0.500 0.017 0.251
Br 0.589 0.839 0.002
F 0.112 0.718 0.706
F 0.203 0.332 0.002
F 0.689 0.405 0.292
F 0.689 0.781 0.792
F 0.985 0.090 0.207
F 0.312 0.597 0.706
F 0.887 0.105 0.796
F 0.888 0.282 0.292
F 0.989 0.400 0.708
F 0.015 0.912 0.794
F 0.110 0.893 0.209
F 0.010 0.601 0.290
F 0.307 0.215 0.206
Nb 0.908 0.615 0.398
Nb 0.783 0.292 0.400
Nb 0.888 0.879 0.101
Nb 0.106 0.116 0.903
Nb 0.216 0.006 0.102
Nb 0.109 0.490 0.397
Nb 0.218 0.708 0.598
Nb 0.909 0.791 0.899
Nb 0.891 0.510 0.600
Nb 0.093 0.386 0.602
Nb 0.777 0.984 0.899
Nb 0.086 0.201 0.099
CELL_PARAMETERS angstrom
-5.245 -4.937 -7.034
8.600 -4.009 3.693
-5.710 -1.048 12.009
```

Compound: VZnTeI2
Source: Alexandria via LeMat-Bulk
Functional: PBE-GGA
Structure: relaxed Values from VASP.

Summary:
formation energy without anion corrections = 567.1 meV per atom
energy relative to the lowest polymorph listed for this composition = 40.4 kJ/mol of atoms
symmetry = P4/mmm
total moment = 3.145 μB/f.u.
mass density = 5.0 g/cm3

Structure (Quantum ESPRESSO input):
```
&SYSTEM
  ibrav = 0, nat = 5, ntyp = 4
/
ATOMIC_SPECIES
Te 127.60 Te.upf
V 50.94 V.upf
I 126.90 I.upf
Zn 65.41 Zn.upf
ATOMIC_POSITIONS crystal
Te 0.000 0.000 0.500
V 0.500 0.500 0.500
I 0.000 0.500 0.000
I 0.500 0.000 0.000
Zn 0.000 0.000 0.000
CELL_PARAMETERS angstrom
5.461 0.000 0.000
0.000 5.461 0.000
0.000 0.000 5.537
```